{
  "formula": "ZnNi2As",
  "functional": "GGA-PBE",
  "state": "optimized geometry",
  "de_polymorph_mev_per_atom": 157,
  "final_energy_ev_per_cell": -17.7,
  "ef_ev_per_atom": -0.057,
  "dos_at_fermi_per_ev_fu": 2.58,
  "crystal_system": "trigonal",
  "cell": [[1.4175, 0.8184, 7.5917], [-1.4175, 0.8184, 7.5917], [0.0000, -1.6368, 7.5917]],
  "species": ["Zn", "Ni", "Ni", "As"],
  "frac_coords": [[0.0000, 0.0000, 0.0000], [0.2462, 0.2462, 0.2462], [0.7538, 0.7538, 0.7538], [0.5000, 0.5000, 0.5000]]
}